# 1
Density functional theory data (PBE) for a relaxed structure of BaCa2SnO.

CIF file:
```
data_BaCa2SnO
_chemical_formula_sum 'Ba1 Ca2 Sn1 O1'
_cell_length_a 5.007
_cell_length_b 5.007
_cell_length_c 5.348
_cell_angle_alpha 90.00
_cell_angle_beta 90.00
_cell_angle_gamma 90.00
_space_group_name_H-M_alt 'P 4/m m m'
_space_group_IT_number 123
_space_group_name_Hall '-P 4 2'
loop_
_atom_site_label
_atom_site_fract_x
_atom_site_fract_y
_atom_site_fract_z
Ba1 0.000 0.000 0.000
Ca1 0.000 0.500 0.500
Sn1 0.500 0.500 0.000
O1 0.000 0.000 0.500
```

# 2
Density functional theory data (PBE) for a relaxed structure of Ba3CaSn2O9.

CIF file:
```
data_Ba3CaSn2O9
_chemical_formula_sum 'Ba3 Ca1 Sn2 O9'
_cell_length_a 6.0360
_cell_length_b 6.0360
_cell_length_c 7.5139
_cell_angle_alpha 90.00
_cell_angle_beta 90.00
_cell_angle_gamma 120.00
_space_group_name_H-M_alt 'P -3 m 1'
_space_group_IT_number 164
_space_group_name_Hall '-P 3 2"'
loop_
_atom_site_label
_atom_site_fract_x
_atom_site_fract_y
_atom_site_fract_z
Ba1 0.0000 0.0000 0.0000
Ba2 0.3333 0.6667 0.6625
Ca1 0.0000 0.0000 0.5000
Sn1 0.3333 0.6667 0.1585
O1 0.0000 0.5000 0.0000
O2 0.1744 0.3488 0.3196
```

# 3
Density functional theory data (PBE) for a relaxed structure of Ba2CaSnO5.

CIF file:
```
data_Ba2CaSnO5
_chemical_formula_sum 'Ba8 Ca4 Sn4 O20'
_cell_length_a 3.535
_cell_length_b 15.495
_cell_length_c 11.075
_cell_angle_alpha 90.00
_cell_angle_beta 90.00
_cell_angle_gamma 90.00
_space_group_name_H-M_alt 'C m c 21'
_space_group_IT_number 36
loop_
_space_group_symop_operation_xyz
'x,y,z'
'-x,-y,z+1/2'
'-x,y,z'
'x,-y,z+1/2'
'x+1/2,y+1/2,z'
'-x+1/2,-y+1/2,z+1/2'
'-x+1/2,y+1/2,z'
'x+1/2,-y+1/2,z+1/2'
loop_
_atom_site_label
_atom_site_fract_x
_atom_site_fract_y
_atom_site_fract_z
Ba1 0.000 0.122 0.000
Ba2 0.000 0.127 0.555
Ca1 0.000 0.485 0.760
Sn1 0.000 0.228 0.282
O1 0.000 0.094 0.294
O2 0.000 0.277 0.906
O3 0.000 0.283 0.657
O4 0.000 0.362 0.280
O5 0.000 0.498 0.554
```

For the records above, the corresponding uncorrected energy values read -22.1 -92.4 -55.3 eV per formula unit.
For the records above, the corresponding formation energy from raw total energies values read -1448 -2132 -2293 meV per atom.